{"formula": "LiFeIO2", "functional": "GGA+U", "state": "optimized geometry", "cell": [[3.9551, 0.0000, 0.0000], [0.0000, 3.9551, 0.0000], [0.0000, 0.0000, 5.2474]], "species": ["I", "Fe", "O", "O", "Li"], "fractional_positions": [[0.0000, 0.0000, 0.5000], [0.5000, 0.5000, 0.5000], [0.0000, 0.5000, 0.0000], [0.5000, 0.0000, 0.0000], [0.0000, 0.0000, 0.0000]], "dos_at_fermi_per_ev_atom": 0.734, "relative_energy_mev_per_atom": 888}